# 1
This record from Alexandria describes a relaxed structure of SrLiH. The functional is PBE.

Properties
The symmetry is C2/m (12). The calculation puts the energy above the most stable polymorph in this dataset at 0.016 eV per atom. The value obtained for the total magnetization is 0.000 μB/f.u. The value obtained for the density of states at the Fermi level is 3.557 states/eV/cell. For the total energy, the calculation gives -2.54 eV per atom.

Cell and atoms, written as extended XYZ:
```
6
Lattice="6.7466 -2.0348 0.0000 6.7466 2.0348 0.0000 -2.2436 0.0000 5.5138" Properties=species:S:1:pos:R:3 pbc="T T T"
Sr 0.8407 0.0000 1.8428
Sr 10.4090 0.0000 3.6711
Li 4.2074 0.0000 0.9378
Li 7.0423 0.0000 4.5761
H 3.1817 0.0000 2.4697
H 8.0679 0.0000 3.0441
```

# 2
This record from Alexandria describes a relaxed structure of SrLiH. The functional is PBE.

Properties
The symmetry is I4mm (107). The calculation puts the energy above the most stable polymorph in this dataset at 0.162 eV per atom. The value obtained for the total magnetization is 0.000 μB/f.u. The value obtained for the density of states at the Fermi level is 0.929 states/eV/cell. For the total energy, the calculation gives -2.40 eV per atom.

Cell and atoms, written as extended XYZ:
```
3
Lattice="-1.8067 1.8067 5.4958 1.8067 -1.8067 5.4958 1.8067 1.8067 -5.4958" Properties=species:S:1:pos:R:3 pbc="T T T"
Sr 0.0000 0.0000 0.0000
Li 0.0000 0.0000 3.1629
H 0.0000 0.0000 5.0256
```

# 3
This record from Alexandria describes a relaxed structure of Sr3Li2H7. The functional is PBE.

Properties
The symmetry is Cmmm (65). The calculation puts the energy above the most stable polymorph in this dataset at 0.009 eV per atom. The value obtained for the total magnetization is 0.649 μB/f.u. The value obtained for the density of states at the Fermi level is 1.187 states/eV/cell. For the total energy, the calculation gives -3.14 eV per atom.

Cell and atoms, written as extended XYZ:
```
12
Lattice="1.8659 -11.6889 0.0000 1.8659 11.6889 0.0000 0.0000 0.0000 3.7529" Properties=species:S:1:pos:R:3 pbc="T T T"
Sr 0.0000 0.0000 0.0000
Sr 1.8659 7.9268 0.0000
Sr 1.8659 -7.9268 0.0000
Li 1.8659 1.9086 1.8765
Li 1.8659 -1.9086 1.8765
H 1.8659 9.7603 1.8765
H 1.8659 3.8324 1.8765
H 1.8659 1.9121 0.0000
H 1.8659 0.0000 1.8765
H 1.8659 -1.9121 0.0000
H 1.8659 -3.8324 1.8765
H 1.8659 -9.7603 1.8765
```

# 4
This record from Alexandria describes a relaxed structure of Sr5Li2H12. The functional is PBE.

Properties
The symmetry is C2/m (12). The value obtained for the total magnetization is 0.000 μB/f.u. The value obtained for the density of states at the Fermi level is 0.000 states/eV/cell. For the total energy, the calculation gives -3.20 eV per atom.

Cell and atoms, written as extended XYZ:
```
19
Lattice="6.3328 -3.1389 0.0000 6.3328 3.1389 0.0000 -2.3477 0.0000 7.5076" Properties=species:S:1:pos:R:3 pbc="T T T"
Sr 0.0000 0.0000 0.0000
Sr 2.2258 0.0000 4.8801
Sr 3.7366 0.0000 1.2186
Sr 6.5814 0.0000 6.2889
Sr 8.0922 0.0000 2.6274
Li 5.1590 1.6919 3.7538
Li 5.1590 -1.6919 3.7538
H -1.2884 0.0000 5.2642
H 2.1520 1.5735 6.8902
H 3.2574 1.3595 3.1661
H 8.1660 1.5735 0.6173
H 7.0606 1.3595 4.3414
H 4.5744 0.0000 5.1541
H 5.7435 0.0000 2.3534
H 3.2574 -1.3595 3.1661
H 2.1520 -1.5735 6.8902
H 7.0606 -1.3595 4.3414
H 8.1660 -1.5735 0.6173
H 11.6064 0.0000 2.2433
```

# 5
This record from Alexandria describes a relaxed structure of Sr3Li2H7. The functional is PBE.

Properties
The symmetry is I4/mmm (139). The calculation puts the energy above the most stable polymorph in this dataset at 0.000 eV per atom. The value obtained for the total magnetization is 0.909 μB/f.u. The value obtained for the density of states at the Fermi level is 2.510 states/eV/cell. For the total energy, the calculation gives -3.15 eV per atom.

Cell and atoms, written as extended XYZ:
```
12
Lattice="-1.9118 1.9118 10.3593 1.9118 -1.9118 10.3593 1.9118 1.9118 -10.3593" Properties=species:S:1:pos:R:3 pbc="T T T"
Sr 0.0000 0.0000 0.0000
Sr 0.0000 0.0000 3.7427
Sr 0.0000 0.0000 16.9758
Li 0.0000 0.0000 8.4619
Li 0.0000 0.0000 12.2567
H 1.9118 0.0000 1.9094
H 0.0000 0.0000 6.3009
H 1.9118 0.0000 8.4499
H 0.0000 0.0000 10.3593
H 0.0000 1.9118 1.9094
H 0.0000 0.0000 14.4177
H 0.0000 1.9118 8.4499
```

# 6
This record from Alexandria describes a relaxed structure of Sr3LiH6. The functional is PBE.

Properties
The symmetry is Cmc2_1 (36). The value obtained for the total magnetization is 0.488 μB/f.u. The value obtained for the density of states at the Fermi level is 5.931 states/eV/cell. For the total energy, the calculation gives -3.14 eV per atom.

Cell and atoms, written as extended XYZ:
```
20
Lattice="4.7476 -6.0580 0.0000 4.7476 6.0580 0.0000 0.0000 0.0000 5.7195" Properties=species:S:1:pos:R:3 pbc="T T T"
Sr 4.7476 4.7374 2.8598
Sr 2.9084 1.3368 2.6434
Sr 2.9084 -1.3368 5.5031
Sr 6.5869 1.3368 2.6434
Sr 6.5869 -1.3368 5.5031
Sr 4.7476 -4.7374 0.0000
Li 4.7476 2.3335 5.3292
Li 4.7476 -2.3335 2.4695
H 3.3334 3.1387 4.2972
H 1.5048 0.1141 4.1764
H 1.5048 -0.1141 1.3166
H 4.7476 2.6113 1.5115
H 6.1619 3.1387 4.2972
H 4.7476 0.4776 4.3813
H 4.7476 -0.4776 1.5215
H 3.3334 -3.1387 1.4375
H 4.7476 -2.6113 4.3713
H 7.9905 0.1141 4.1764
H 7.9905 -0.1141 1.3166
H 6.1619 -3.1387 1.4375
```

# 7
This record from Alexandria describes a relaxed structure of SrLiH. The functional is PBE.

Properties
The symmetry is P4/mmm (123). The calculation puts the energy above the most stable polymorph in this dataset at 0.023 eV per atom. The value obtained for the total magnetization is 0.000 μB/f.u. The value obtained for the density of states at the Fermi level is 0.716 states/eV/cell. For the total energy, the calculation gives -2.54 eV per atom.

Cell and atoms, written as extended XYZ:
```
3
Lattice="3.7983 0.0000 0.0000 0.0000 3.7983 0.0000 0.0000 0.0000 4.4004" Properties=species:S:1:pos:R:3 pbc="T T T"
Sr 0.0000 0.0000 0.0000
Li 1.8991 1.8991 2.2002
H 1.8991 1.8991 0.0000
```

# 8
This record from Alexandria describes a relaxed structure of SrLiH. The functional is PBE.

Properties
The symmetry is Pmma (51). The calculation puts the energy above the most stable polymorph in this dataset at 0.019 eV per atom. The value obtained for the total magnetization is 0.000 μB/f.u. The value obtained for the density of states at the Fermi level is 2.878 states/eV/cell. For the total energy, the calculation gives -2.54 eV per atom.

Cell and atoms, written as extended XYZ:
```
6
Lattice="5.6725 0.0000 0.0000 0.0000 3.9482 0.0000 0.0000 0.0000 5.7171" Properties=species:S:1:pos:R:3 pbc="T T T"
Sr 1.4181 0.0000 1.3009
Sr 4.2544 0.0000 4.4163
Li 1.4181 1.9741 4.3358
Li 4.2544 1.9741 1.3813
H 0.0000 1.9741 0.0000
H 2.8363 1.9741 0.0000
```

# 9
This record from Alexandria describes a relaxed structure of SrLiH. The functional is PBE.

Properties
The symmetry is P3m1 (156). The calculation puts the energy above the most stable polymorph in this dataset at 0.222 eV per atom. The value obtained for the total magnetization is 0.081 μB/f.u. The value obtained for the density of states at the Fermi level is 0.898 states/eV/cell. For the total energy, the calculation gives -2.34 eV per atom.

Cell and atoms, written as extended XYZ:
```
3
Lattice="3.8317 0.0000 0.0000 -1.9158 3.3183 0.0000 0.0000 0.0000 5.7889" Properties=species:S:1:pos:R:3 pbc="T T T"
Sr 0.0000 0.0000 0.0000
Li 0.0000 2.2122 2.8054
H 1.9158 1.1061 1.3026
```

# 10
This record from Alexandria describes a relaxed structure of Sr4LiH2. The functional is PBE.

Properties
The symmetry is I4/mmm (139). The value obtained for the total magnetization is 0.000 μB/f.u. The value obtained for the density of states at the Fermi level is 3.666 states/eV/cell. For the total energy, the calculation gives -2.10 eV per atom.

Cell and atoms, written as extended XYZ:
```
7
Lattice="-2.9794 2.9794 6.8606 2.9794 -2.9794 6.8606 2.9794 2.9794 -6.8606" Properties=species:S:1:pos:R:3 pbc="T T T"
Sr 2.9794 0.0000 0.0000
Sr 0.0000 0.0000 3.3959
Sr 0.0000 2.9794 0.0000
Sr 0.0000 0.0000 10.3254
Li 0.0000 0.0000 6.8606
H 0.0000 0.0000 1.0807
H 0.0000 0.0000 12.6405
```

# 11
This record from Alexandria describes a relaxed structure of Sr4Li2H. The functional is PBE.

Properties
The symmetry is I4/mmm (139). The value obtained for the total magnetization is 0.000 μB/f.u. The value obtained for the density of states at the Fermi level is 6.505 states/eV/cell. For the total energy, the calculation gives -2.02 eV per atom.

Cell and atoms, written as extended XYZ:
```
7
Lattice="-2.6202 2.6202 9.3678 2.6202 -2.6202 9.3678 2.6202 2.6202 -9.3678" Properties=species:S:1:pos:R:3 pbc="T T T"
Sr 2.6202 0.0000 0.0000
Sr 0.0000 0.0000 3.3243
Sr 0.0000 2.6202 0.0000
Sr 0.0000 0.0000 15.4112
Li 0.0000 0.0000 6.8964
Li 0.0000 0.0000 11.8392
H 0.0000 0.0000 0.0000
```

# 12
This record from Alexandria describes a relaxed structure of Sr3LiH. The functional is PBE.

Properties
The symmetry is P2_1/m (11). The calculation puts the energy above the most stable polymorph in this dataset at 0.035 eV per atom. The value obtained for the total magnetization is 0.000 μB/f.u. The value obtained for the density of states at the Fermi level is 7.324 states/eV/cell. For the total energy, the calculation gives -2.12 eV per atom.

Cell and atoms, written as extended XYZ:
```
10
Lattice="8.7627 0.0000 0.0000 0.0000 3.9663 0.0000 -0.6874 0.0000 10.1914" Properties=species:S:1:pos:R:3 pbc="T T T"
Sr 0.2587 0.9916 3.1117
Sr 1.6855 0.9916 9.6964
Sr 2.5480 2.9747 6.1503
Sr 5.5273 0.9916 4.0411
Sr 6.3898 2.9747 0.4950
Sr 7.8166 2.9747 7.0797
Li 3.1075 2.9747 2.4342
Li 4.9678 0.9916 7.7572
H 0.9550 0.9916 7.1976
H 7.1202 2.9747 2.9938
```